1.
A plane-wave DFT calculation with PBE was carried out for a relaxed structure of SiSCl3.

The space group is Pm-3m (No. 221) and the conventional cell measures 4.914, 4.914 and 4.914 Å, with angles of 90.00, 90.00 and 90.00 degrees. The inequivalent atoms are Si at (0.000, 0.000, 0.000), S at (0.500, 0.500, 0.500) and Cl at (0.000, 0.500, 0.500).

The total magnetization comes out at 0.78 μB/f.u. The value obtained for the formation energy from raw total energies is 54.5 kJ per mole of atoms. Its energy above the most stable polymorph in this dataset is 437 meV per atom.

***

2.
A plane-wave DFT calculation with PBE was carried out for a relaxed structure of SiSCl2.

The space group is R-3m (No. 166, hexagonal axes) and the conventional cell measures 3.0189, 3.0189 and 36.2352 Å, with angles of 90.00, 90.00 and 120.00 degrees. The inequivalent atoms are Si at (0.0000, 0.0000, 0.0000), S at (0.0000, 0.0000, 0.5000) and Cl at (0.0000, 0.0000, 0.0570).

The total magnetization comes out at 0.37 μB/f.u. The value obtained for the formation energy from raw total energies is 33.6 kJ per mole of atoms. Its energy above the most stable polymorph in this dataset is 0 meV per atom.

***

3.
A plane-wave DFT calculation with PBE was carried out for a relaxed structure of Si2S2Cl.

The space group is P4/mbm (No. 127) and the conventional cell measures 7.836, 7.836 and 3.390 Å, with angles of 90.00, 90.00 and 90.00 degrees. The inequivalent atoms are Si at (0.241, 0.259, 0.000), S at (0.130, 0.630, 0.500) and Cl at (0.000, 0.000, 0.000).

The total magnetization comes out at 0.00 μB/f.u. The value obtained for the formation energy from raw total energies is -8.5 kJ per mole of atoms. Its energy above the most stable polymorph in this dataset is 44 meV per atom.

***

4.
A plane-wave DFT calculation with PBE was carried out for a relaxed structure of SiS3Cl.

The space group is Pm-3m (No. 221) and the conventional cell measures 4.656, 4.656 and 4.656 Å, with angles of 90.00, 90.00 and 90.00 degrees. The inequivalent atoms are Si at (0.000, 0.000, 0.000), S at (0.000, 0.500, 0.500) and Cl at (0.500, 0.500, 0.500).

The total magnetization comes out at 0.00 μB/f.u. The value obtained for the formation energy from raw total energies is 114.5 kJ per mole of atoms. Its energy above the most stable polymorph in this dataset is 663 meV per atom.

***

5.
A plane-wave DFT calculation with PBE was carried out for a relaxed structure of Sm3SiSCl.

The space group is P2_1/m (No. 11) and the conventional cell measures 7.527, 3.986 and 10.771 Å, with angles of 90.00, 107.86 and 90.00 degrees. The inequivalent atoms are Sm at (0.172, 0.250, 0.150), Sm at (0.201, 0.250, 0.490), Sm at (0.308, 0.750, 0.835), Si at (0.009, 0.250, 0.699), S at (0.406, 0.750, 0.106) and Cl at (0.474, 0.750, 0.623).

The total magnetization comes out at 0.00 μB/f.u. The value obtained for the formation energy from raw total energies is -131.9 kJ per mole of atoms.

***

6.
A plane-wave DFT calculation with PBE was carried out for a relaxed structure of Sm8Si3S4Cl.

The space group is R-3m (No. 166, hexagonal axes) and the conventional cell measures 8.2293, 8.2293 and 20.0787 Å, with angles of 90.00, 90.00 and 120.00 degrees. The inequivalent atoms are Sm at (0.0000, 0.0000, 0.2500), Sm at (0.0113, 0.5056, 0.2490), Si at (0.0000, 0.5000, 0.0000), S at (0.0000, 0.0000, 0.5000), S at (0.0000, 0.5000, 0.5000) and Cl at (0.0000, 0.0000, 0.0000).

The total magnetization comes out at 0.00 μB/f.u. The value obtained for the formation energy from raw total energies is -145.1 kJ per mole of atoms.

***

7.
A plane-wave DFT calculation with PBE was carried out for a relaxed structure of Sm6Si3S2Cl.

The space group is C2/m (No. 12) and the conventional cell measures 18.055, 4.156 and 8.291 Å, with angles of 90.00, 102.88 and 90.00 degrees. The inequivalent atoms are Sm at (0.000, 0.000, 0.236), Sm at (0.166, 0.500, 0.085), Sm at (0.172, 0.500, 0.585), Si at (0.000, 0.500, 0.000), Si at (0.164, 0.000, 0.333), S at (0.167, 0.000, 0.832) and Cl at (0.000, 0.500, 0.500).

The total magnetization comes out at 0.00 μB/f.u. The value obtained for the formation energy from raw total energies is -126.4 kJ per mole of atoms.

***

8.
A plane-wave DFT calculation with PBE was carried out for a relaxed structure of Sm4SiS2Cl.

The space group is P2/m (No. 10) and the conventional cell measures 7.044, 4.067 and 7.148 Å, with angles of 90.00, 109.03 and 90.00 degrees. The inequivalent atoms are Sm at (0.231, 0.000, 0.226), Sm at (0.243, 0.500, 0.762), Si at (0.500, 0.000, 0.000), S at (0.000, 0.000, 0.500), S at (0.000, 0.500, 0.000) and Cl at (0.500, 0.500, 0.500).

The total magnetization comes out at 0.00 μB/f.u. The value obtained for the formation energy from raw total energies is -153.6 kJ per mole of atoms.

***

9.
A plane-wave DFT calculation with PBE was carried out for a relaxed structure of Sm4SiSCl2.

The space group is P2/m (No. 10) and the conventional cell measures 7.040, 4.139 and 7.268 Å, with angles of 90.00, 109.58 and 90.00 degrees. The inequivalent atoms are Sm at (0.234, 0.000, 0.213), Sm at (0.256, 0.500, 0.782), Si at (0.500, 0.000, 0.000), S at (0.000, 0.500, 0.000), Cl at (0.000, 0.000, 0.500) and Cl at (0.500, 0.500, 0.500).

The total magnetization comes out at 0.00 μB/f.u. The value obtained for the formation energy from raw total energies is -139.7 kJ per mole of atoms.

***

10.
A plane-wave DFT calculation with PBE was carried out for a relaxed structure of Sm6Si2SCl3.

The space group is C2/m (No. 12) and the conventional cell measures 18.201, 4.144 and 8.308 Å, with angles of 90.00, 104.43 and 90.00 degrees. The inequivalent atoms are Sm at (0.006, 0.000, 0.227), Sm at (0.158, 0.500, 0.096), Sm at (0.173, 0.500, 0.569), Si at (0.165, 0.000, 0.331), S at (0.000, 0.500, 0.000), Cl at (0.000, 0.500, 0.500) and Cl at (0.170, 0.000, 0.836).

The total magnetization comes out at 0.00 μB/f.u. The value obtained for the formation energy from raw total energies is -130.6 kJ per mole of atoms.

***

11.
A plane-wave DFT calculation with PBE was carried out for a relaxed structure of Sm6Si2S3Cl.

The space group is C2/m (No. 12) and the conventional cell measures 17.849, 4.086 and 8.261 Å, with angles of 90.00, 102.62 and 90.00 degrees. The inequivalent atoms are Sm at (0.004, 0.000, 0.274), Sm at (0.167, 0.500, 0.584), Sm at (0.174, 0.500, 0.094), Si at (0.166, 0.000, 0.331), S at (0.000, 0.500, 0.500), S at (0.163, 0.000, 0.838) and Cl at (0.000, 0.500, 0.000).

The total magnetization comes out at 0.00 μB/f.u. The value obtained for the formation energy from raw total energies is -147.8 kJ per mole of atoms.

***

12.
A plane-wave DFT calculation with PBE was carried out for a relaxed structure of SiSnS2Cl.

The space group is P4/mmm (No. 123) and the conventional cell measures 4.712, 4.712 and 4.678 Å, with angles of 90.00, 90.00 and 90.00 degrees. The inequivalent atoms are Si at (0.000, 0.000, 0.000), Sn at (0.500, 0.500, 0.500), S at (0.000, 0.500, 0.000) and Cl at (0.000, 0.000, 0.500).

The total magnetization comes out at 0.00 μB/f.u. The value obtained for the formation energy from raw total energies is -19.4 kJ per mole of atoms. Its energy above the most stable polymorph in this dataset is 0 meV per atom.